(1)
Compound: RbCaAu3
Source: the Alexandria database
Functional: PBE-GGA
Structure: relaxed

Geometry as CIF:
```
data_RbCaAu3
_chemical_formula_sum 'Rb1 Ca1 Au3'
_cell_length_a 5.6945
_cell_length_b 5.6945
_cell_length_c 5.6945
_cell_angle_alpha 90.00
_cell_angle_beta 90.00
_cell_angle_gamma 90.00
_space_group_name_H-M_alt 'P m -3 m'
_space_group_IT_number 221
_space_group_name_Hall '-P 4 2 3'
loop_
_atom_site_label
_atom_site_type_symbol
_atom_site_fract_x
_atom_site_fract_y
_atom_site_fract_z
Rb1 Rb 0.0000 0.0000 0.0000
Ca1 Ca 0.5000 0.5000 0.5000
Au1 Au 0.0000 0.5000 0.5000
```

N(E_F) ... 0.0000 states/eV/atom
Polymorph energy (0 for the lowest one) ... 0.000 eV per atom
VASP energy ... -13.85 eV/cell


(2)
Compound: Rb2CaAu2
Source: the Alexandria database
Functional: PBE-GGA
Structure: relaxed

Geometry as CIF:
```
data_Rb2CaAu2
_chemical_formula_sum 'Rb4 Ca2 Au4'
_cell_length_a 9.5800
_cell_length_b 9.5800
_cell_length_c 3.8367
_cell_angle_alpha 90.00
_cell_angle_beta 90.00
_cell_angle_gamma 90.00
_space_group_name_H-M_alt 'P 4/m b m'
_space_group_IT_number 127
_space_group_name_Hall '-P 4 2ab'
loop_
_atom_site_label
_atom_site_type_symbol
_atom_site_fract_x
_atom_site_fract_y
_atom_site_fract_z
Rb1 Rb 0.1246 0.3754 0.0000
Ca1 Ca 0.0000 0.0000 0.0000
Au1 Au 0.1790 0.6790 0.5000
```

N(E_F) ... 0.4684 states/eV/atom
Polymorph energy (0 for the lowest one) ... 0.213 eV per atom
VASP energy ... -21.55 eV/cell


(3)
Compound: RbCaAu2
Source: the Alexandria database
Functional: PBE-GGA
Structure: relaxed

Geometry as CIF:
```
data_RbCaAu2
_chemical_formula_sum 'Rb4 Ca4 Au8'
_cell_length_a 8.4602
_cell_length_b 8.4602
_cell_length_c 7.8290
_cell_angle_alpha 90.00
_cell_angle_beta 90.00
_cell_angle_gamma 90.00
_space_group_name_H-M_alt 'I -4 2 d'
_space_group_IT_number 122
_space_group_name_Hall 'I -4 2bw'
loop_
_atom_site_label
_atom_site_type_symbol
_atom_site_fract_x
_atom_site_fract_y
_atom_site_fract_z
Rb1 Rb 0.0000 0.0000 0.0000
Ca1 Ca 0.0000 0.0000 0.5000
Au1 Au 0.2055 0.2500 0.6250
```

N(E_F) ... 0.6331 states/eV/atom
Polymorph energy (0 for the lowest one) ... 0.278 eV per atom
VASP energy ... -42.25 eV/cell


Please write out number 3 again, unchanged.
Compound: RbCaAu2
Source: the Alexandria database
Functional: PBE-GGA
Structure: relaxed

Geometry as CIF:
```
data_RbCaAu2
_chemical_formula_sum 'Rb4 Ca4 Au8'
_cell_length_a 8.4602
_cell_length_b 8.4602
_cell_length_c 7.8290
_cell_angle_alpha 90.00
_cell_angle_beta 90.00
_cell_angle_gamma 90.00
_space_group_name_H-M_alt 'I -4 2 d'
_space_group_IT_number 122
_space_group_name_Hall 'I -4 2bw'
loop_
_atom_site_label
_atom_site_type_symbol
_atom_site_fract_x
_atom_site_fract_y
_atom_site_fract_z
Rb1 Rb 0.0000 0.0000 0.0000
Ca1 Ca 0.0000 0.0000 0.5000
Au1 Au 0.2055 0.2500 0.6250
```

N(E_F) ... 0.6331 states/eV/atom
Polymorph energy (0 for the lowest one) ... 0.278 eV per atom
VASP energy ... -42.25 eV/cell


Question: What is the polymorph energy (0 for the lowest one) in the first record?
Answer: 0.000 eV per atom


Question: Look up the VASP energy of the first one.
Answer: -13.85 eV/cell